# MgCdHg

A relaxed MgCdHg crystal (PBE, Alexandria).

## Properties
magnetic moment: 0.00 μB/cell
D(E_F): 0.24 states/eV/atom
formation energy from the elements: -0.1112 eV per atom
energy: -0.0771 Ry/atom
energy above the most stable polymorph in this dataset: 0.005 eV per atom

abc: 3.788 4.000 8.827
angles: 90.00 90.00 90.00
Fractional coordinates of all 6 atoms:
Mg1 0.000 0.000 0.000
Mg2 0.500 0.500 0.500
Cd1 0.000 0.000 0.668
Cd2 0.500 0.500 0.168
Hg1 0.000 0.000 0.334
Hg2 0.500 0.500 0.834

***

# CdAs2BrCl

A relaxed CdAs2BrCl crystal (PBE, Alexandria).

## Properties
magnetic moment: 1.08 μB/cell
D(E_F): 1.05 states/eV/atom
energy: -0.1547 Ry/atom
energy above the most stable polymorph in this dataset: 0.000 eV per atom
ΔE_f (raw): 62 kJ/mol of atoms

abc: 5.292 5.292 5.333
angles: 90.00 90.00 90.00
Fractional coordinates of all 5 atoms:
Cd1 0.000 0.000 0.000
As1 0.000 0.500 0.000
As2 0.500 0.000 0.000
Br1 0.000 0.000 0.500
Cl1 0.500 0.500 0.500

***

# CaHgAs

A relaxed CaHgAs crystal (PBE, Alexandria).

## Properties
magnetic moment: 0.00 μB/cell
D(E_F): 0.40 states/eV/atom
formation energy from the elements: -0.5235 eV per atom
energy: -0.2088 Ry/atom
energy above the most stable polymorph in this dataset: 0.068 eV per atom

abc: 6.967 6.967 6.967
angles: 90.00 90.00 90.00
Fractional coordinates of all 12 atoms:
Ca1 0.000 0.000 0.000
Ca2 0.000 0.500 0.500
Ca3 0.500 0.000 0.500
Ca4 0.500 0.500 0.000
Hg1 0.000 0.000 0.500
Hg2 0.000 0.500 0.000
Hg3 0.500 0.000 0.000
Hg4 0.500 0.500 0.500
As1 0.250 0.250 0.750
As2 0.250 0.750 0.250
As3 0.750 0.250 0.250
As4 0.750 0.750 0.750

***

# MnP3

A relaxed MnP3 crystal (PBE, Alexandria).

## Properties
magnetic moment: 1.69 μB/cell
D(E_F): 0.30 states/eV/atom
formation energy from the elements: 0.0187 eV per atom
energy: -0.4653 Ry/atom
energy above the most stable polymorph in this dataset: 0.178 eV per atom

abc: 7.631 11.717 3.651
angles: 90.00 90.00 90.00
Fractional coordinates of all 16 atoms:
Mn1 0.000 0.066 0.250
Mn2 0.000 0.934 0.750
Mn3 0.500 0.434 0.750
Mn4 0.500 0.566 0.250
P1 0.000 0.222 0.750
P2 0.000 0.778 0.250
P3 0.201 0.090 0.750
P4 0.201 0.910 0.250
P5 0.299 0.410 0.250
P6 0.299 0.590 0.750
P7 0.500 0.278 0.250
P8 0.500 0.722 0.750
P9 0.701 0.410 0.250
P10 0.701 0.590 0.750
P11 0.799 0.090 0.750
P12 0.799 0.910 0.250

***

# Y8Pd2Au

A relaxed Y8Pd2Au crystal (PBE, Alexandria).

## Properties
magnetic moment: 0.00 μB/cell
D(E_F): 1.44 states/eV/atom
formation energy from the elements: -0.3619 eV per atom
energy: -0.4634 Ry/atom
energy above the most stable polymorph in this dataset: 0.105 eV per atom

abc: 7.862 7.862 5.844
angles: 99.77 99.77 114.62
Fractional coordinates of all 11 atoms:
Y1 0.000 0.000 0.000
Y2 0.033 0.287 0.589
Y3 0.152 0.594 0.181
Y4 0.287 0.033 0.589
Y5 0.457 0.711 0.788
Y6 0.594 0.152 0.181
Y7 0.711 0.457 0.788
Y8 0.742 0.742 0.364
Pd1 0.066 0.674 0.677
Pd2 0.674 0.066 0.677
Au1 0.372 0.372 0.040

***

# PrSm3Sn3

A relaxed PrSm3Sn3 crystal (PBE, Alexandria).

## Properties
magnetic moment: 0.00 μB/cell
D(E_F): 0.92 states/eV/atom
formation energy from the elements: -0.5494 eV per atom
energy: -0.3653 Ry/atom

abc: 9.448 9.448 5.420
angles: 90.00 90.00 120.00
Fractional coordinates of all 14 atoms:
Pr1 0.333 0.667 0.250
Pr2 0.667 0.333 0.750
Sm1 0.001 0.759 0.750
Sm2 0.241 0.242 0.750
Sm3 0.242 0.001 0.250
Sm4 0.758 0.999 0.750
Sm5 0.759 0.758 0.250
Sm6 0.999 0.241 0.250
Sn1 0.073 0.451 0.750
Sn2 0.379 0.927 0.750
Sn3 0.451 0.379 0.250
Sn4 0.549 0.621 0.750
Sn5 0.621 0.073 0.250
Sn6 0.927 0.549 0.250

***

# Cd3Sn5Sb12

A relaxed Cd3Sn5Sb12 crystal (PBE, Alexandria).

## Properties
magnetic moment: 0.00 μB/cell
D(E_F): 0.50 states/eV/atom
energy: -0.2490 Ry/atom
ΔE_f (raw): 22 kJ/mol of atoms

abc: 15.205 15.205 15.205
angles: 109.47 109.47 109.47
Fractional coordinates of all 80 atoms:
Cd1 0.125 0.250 0.375
Cd2 0.125 0.375 0.750
Cd3 0.250 0.375 0.125
Cd4 0.250 0.875 0.625
Cd5 0.375 0.125 0.250
Cd6 0.375 0.750 0.125
Cd7 0.625 0.250 0.875
Cd8 0.625 0.875 0.750
Cd9 0.750 0.125 0.375
Cd10 0.750 0.625 0.875
Cd11 0.875 0.625 0.250
Cd12 0.875 0.750 0.625
Sn1 0.000 0.000 0.000
Sn2 0.000 0.000 0.500
Sn3 0.000 0.500 0.000
Sn4 0.000 0.500 0.500
Sn5 0.125 0.750 0.875
Sn6 0.125 0.875 0.250
Sn7 0.250 0.125 0.875
Sn8 0.250 0.625 0.375
Sn9 0.375 0.250 0.625
Sn10 0.375 0.625 0.750
Sn11 0.500 0.000 0.000
Sn12 0.500 0.000 0.500
Sn13 0.500 0.500 0.000
Sn14 0.500 0.500 0.500
Sn15 0.625 0.375 0.250
Sn16 0.625 0.750 0.375
Sn17 0.750 0.375 0.625
Sn18 0.750 0.875 0.125
Sn19 0.875 0.125 0.750
Sn20 0.875 0.250 0.125
Sb1 0.066 0.241 0.139
Sb2 0.066 0.325 0.928
Sb3 0.072 0.639 0.397
Sb4 0.072 0.934 0.675
Sb5 0.103 0.741 0.675
Sb6 0.103 0.861 0.428
Sb7 0.139 0.066 0.241
Sb8 0.139 0.572 0.897
Sb9 0.175 0.241 0.603
Sb10 0.175 0.434 0.572
Sb11 0.241 0.139 0.066
Sb12 0.241 0.603 0.175
Sb13 0.259 0.325 0.897
Sb14 0.259 0.434 0.361
Sb15 0.325 0.897 0.259
Sb16 0.325 0.928 0.066
Sb17 0.361 0.259 0.434
Sb18 0.361 0.603 0.928
Sb19 0.397 0.072 0.639
Sb20 0.397 0.825 0.759
Sb21 0.428 0.103 0.861
Sb22 0.428 0.825 0.566
Sb23 0.434 0.361 0.259
Sb24 0.434 0.572 0.175
Sb25 0.566 0.428 0.825
Sb26 0.566 0.639 0.741
Sb27 0.572 0.175 0.434
Sb28 0.572 0.897 0.139
Sb29 0.603 0.175 0.241
Sb30 0.603 0.928 0.361
Sb31 0.639 0.397 0.072
Sb32 0.639 0.741 0.566
Sb33 0.675 0.072 0.934
Sb34 0.675 0.103 0.741
Sb35 0.741 0.566 0.639
Sb36 0.741 0.675 0.103
Sb37 0.759 0.397 0.825
Sb38 0.759 0.861 0.934
Sb39 0.825 0.566 0.428
Sb40 0.825 0.759 0.397
Sb41 0.861 0.428 0.103
Sb42 0.861 0.934 0.759
Sb43 0.897 0.139 0.572
Sb44 0.897 0.259 0.325
Sb45 0.928 0.066 0.325
Sb46 0.928 0.361 0.603
Sb47 0.934 0.675 0.072
Sb48 0.934 0.759 0.861

***

# MgMnBr2

A relaxed MgMnBr2 crystal (PBE, Alexandria).

## Properties
magnetic moment: 14.67 μB/cell
D(E_F): 0.24 states/eV/atom
energy: -0.2870 Ry/atom
energy above the most stable polymorph in this dataset: 0.163 eV per atom
ΔE_f (raw): -36 kJ/mol of atoms

abc: 3.727 3.727 29.981
angles: 90.00 90.00 120.00
Fractional coordinates of all 12 atoms:
Mg1 0.000 0.000 0.000
Mg2 0.333 0.667 0.667
Mg3 0.667 0.333 0.333
Mn1 0.000 0.000 0.500
Mn2 0.333 0.667 0.167
Mn3 0.667 0.333 0.833
Br1 0.000 0.000 0.220
Br2 0.000 0.000 0.780
Br3 0.333 0.667 0.447
Br4 0.333 0.667 0.887
Br5 0.667 0.333 0.113
Br6 0.667 0.333 0.553

***

# NbBrN2O

A relaxed NbBrN2O crystal (PBE, Alexandria).

## Properties
magnetic moment: 0.01 μB/cell
D(E_F): 0.68 states/eV/atom
energy: -0.4670 Ry/atom
ΔE_f (raw): 30 kJ/mol of atoms

abc: 4.254 4.254 3.903
angles: 90.00 90.00 90.00
Fractional coordinates of all 5 atoms:
Nb1 0.000 0.000 0.000
Br1 0.500 0.500 0.500
N1 0.000 0.500 0.000
N2 0.500 0.000 0.000
O1 0.000 0.000 0.500

***

# Na2TlTeO6

A relaxed Na2TlTeO6 crystal (PBE, Alexandria).

## Properties
magnetic moment: 1.06 μB/cell
D(E_F): 0.63 states/eV/atom
energy: -0.3541 Ry/atom
ΔE_f (raw): -99 kJ/mol of atoms

abc: 5.698 5.702 5.745
angles: 90.98 119.73 118.85
Fractional coordinates of all 10 atoms:
Na1 0.024 0.251 0.276
Na2 0.976 0.749 0.724
Tl1 0.500 0.500 0.000
Te1 0.500 0.000 0.500
O1 0.041 0.835 0.343
O2 0.378 0.776 0.151
O3 0.489 0.696 0.655
O4 0.511 0.304 0.345
O5 0.622 0.224 0.849
O6 0.959 0.165 0.657

***

# Ho6Tl3H

A relaxed Ho6Tl3H crystal (PBE, Alexandria).

## Properties
magnetic moment: 0.00 μB/cell
D(E_F): 0.74 states/eV/atom
energy: -0.3005 Ry/atom

abc: 10.155 10.155 5.341
angles: 90.00 90.00 111.12
Fractional coordinates of all 20 atoms:
Ho1 0.084 0.916 0.500
Ho2 0.096 0.554 0.503
Ho3 0.239 0.761 0.015
Ho4 0.248 0.412 0.000
Ho5 0.412 0.248 0.500
Ho6 0.446 0.904 0.503
Ho7 0.554 0.096 0.003
Ho8 0.588 0.752 0.000
Ho9 0.752 0.588 0.500
Ho10 0.761 0.239 0.515
Ho11 0.904 0.446 0.003
Ho12 0.916 0.084 0.000
Tl1 0.079 0.239 0.498
Tl2 0.239 0.079 0.998
Tl3 0.418 0.582 0.499
Tl4 0.582 0.418 0.999
Tl5 0.761 0.921 0.498
Tl6 0.921 0.761 0.998
H1 0.215 0.785 0.435
H2 0.785 0.215 0.935

***

# Li3Ca2AlGe4

A relaxed Li3Ca2AlGe4 crystal (PBE, Alexandria).

## Properties
magnetic moment: 0.00 μB/cell
D(E_F): 0.55 states/eV/atom
formation energy from the elements: -0.4394 eV per atom
energy: -0.2672 Ry/atom

abc: 4.102 4.102 11.423
angles: 90.00 90.00 90.00
Fractional coordinates of all 10 atoms:
Li1 0.000 0.000 0.000
Li2 0.000 0.500 0.640
Li3 0.500 0.000 0.360
Ca1 0.000 0.500 0.254
Ca2 0.500 0.000 0.746
Al1 0.500 0.500 0.000
Ge1 0.000 0.000 0.500
Ge2 0.000 0.500 0.859
Ge3 0.500 0.000 0.141
Ge4 0.500 0.500 0.500